Entry 1:
VASP calculation (GGA-PBE) on a geometry-optimized Re2BO8 structure.

For the raw total energy, the calculation gives -7.658 eV per atom. As for the formation energy from raw total energies: -1.1814 eV per atom.

The structure belongs to space group C2/m (No. 12); the cell edges are 9.595, 6.683 and 5.800 Å and the angles 90.00°, 96.02° and 90.00°. The asymmetric unit holds Re at (0.200, 0.000, 0.324), B at (0.000, 0.000, 0.000), O at (0.090, 0.174, 0.137), O at (0.125, 0.500, 0.710) and O at (0.172, 0.000, 0.616).

---

Entry 2:
VASP calculation (GGA-PBE) on a geometry-optimized KBaFe2 structure.

For the raw total energy, the calculation gives -4.192 eV per atom. The formation energy comes out at 3.2 eV/f.u. For the energy above the most stable polymorph in this dataset, the calculation gives 154.0 meV/atom.

The structure belongs to space group Pm (No. 6); the cell edges are 3.944, 4.295 and 8.663 Å and the angles 90.00°, 103.10° and 90.00°. The asymmetric unit holds K at (0.000, 0.000, 0.000), Ba at (0.731, 0.500, 0.460), Fe at (0.336, 0.000, 0.670) and Fe at (0.380, 0.500, 0.760).

---

Entry 3:
VASP calculation (GGA-PBE) on a geometry-optimized Nb2Co2Rh structure.

For the raw total energy, the calculation gives -8.594 eV per atom. The formation energy comes out at -1.3 eV/f.u.

The structure belongs to space group P4/mbm (No. 127); the cell edges are 6.864, 6.864 and 3.028 Å and the angles 90.00°, 90.00° and 90.00°. The asymmetric unit holds Nb at (0.174, 0.326, 0.000), Co at (0.128, 0.628, 0.500) and Rh at (0.000, 0.000, 0.500).

---

Entry 4:
VASP calculation (GGA-PBE) on a geometry-optimized SnSb2IBr structure.

For the raw total energy, the calculation gives -2.334 eV per atom. As for the formation energy from raw total energies: 0.7600 eV per atom. For the energy above the most stable polymorph in this dataset, the calculation gives 250.3 meV/atom.

The structure belongs to space group P4/mmm (No. 123); the cell edges are 5.652, 5.652 and 5.637 Å and the angles 90.00°, 90.00° and 90.00°. The asymmetric unit holds Sn at (0.000, 0.000, 0.000), Sb at (0.000, 0.500, 0.500), I at (0.500, 0.500, 0.000) and Br at (0.500, 0.500, 0.500).

---

Entry 5:
VASP calculation (GGA-PBE) on a geometry-optimized Cd3RhAu4 structure.

For the raw total energy, the calculation gives -3.016 eV per atom. The formation energy comes out at -0.9 eV/f.u.

The structure belongs to space group C2/m (No. 12); the cell edges are 19.530, 3.162 and 4.891 Å and the angles 90.00°, 102.88° and 90.00°. The asymmetric unit holds Cd at (0.000, 0.000, 0.000), Cd at (0.122, 0.000, 0.505), Rh at (0.000, 0.500, 0.500), Au at (0.124, 0.500, 0.995) and Au at (0.248, 0.000, 0.250).

---

Entry 6:
VASP calculation (GGA-PBE) on a geometry-optimized DySn2Pt structure.

For the raw total energy, the calculation gives -5.276 eV per atom. The formation energy comes out at -2.5 eV/f.u.

The structure belongs to space group P4/mmm (No. 123); the cell edges are 4.470, 4.470 and 4.437 Å and the angles 90.00°, 90.00° and 90.00°. The asymmetric unit holds Dy at (0.000, 0.000, 0.000), Sn at (0.000, 0.500, 0.500) and Pt at (0.500, 0.500, 0.000).

---

Entry 7:
VASP calculation (GGA-PBE) on a geometry-optimized Cd2CoPd2 structure.

For the raw total energy, the calculation gives -3.857 eV per atom. The formation energy comes out at 0.0 eV/f.u. For the energy above the most stable polymorph in this dataset, the calculation gives 0.0 meV/atom.

The structure belongs to space group P4/mbm (No. 127); the cell edges are 6.513, 6.513 and 4.192 Å and the angles 90.00°, 90.00° and 90.00°. The asymmetric unit holds Cd at (0.165, 0.335, 0.000), Co at (0.000, 0.000, 0.500) and Pd at (0.143, 0.643, 0.500).

---

Entry 8:
VASP calculation (GGA-PBE) on a geometry-optimized LiPaAgI6 structure.

For the raw total energy, the calculation gives -3.435 eV per atom. As for the formation energy from raw total energies: -0.8171 eV per atom.

The structure belongs to space group P-31c (No. 163); the cell edges are 7.5208, 7.5208 and 14.0269 Å and the angles 90.00°, 90.00° and 120.00°. The asymmetric unit holds Li at (0.3333, 0.6667, 0.2500), Pa at (0.3333, 0.6667, 0.7500), Ag at (0.0000, 0.0000, 0.0000) and I at (0.0012, 0.3404, 0.1255).

---

Number 1: D(E_F) 6.357 states/eV/cell. Number 2: D(E_F) 4.611 states/eV/cell. Number 3: D(E_F) 8.419 states/eV/cell. Number 4: D(E_F) 6.237 states/eV/cell. Number 5: D(E_F) 6.497 states/eV/cell. Number 6: D(E_F) 2.621 states/eV/cell. Number 7: D(E_F) 7.327 states/eV/cell. Number 8: D(E_F) 3.480 states/eV/cell.